# 1
# ScBeSb, optimized geometry, DFT PBE
# DOS at the Fermi energy = 1.74 states/eV per cell
# Total magnetization = 0.00 Bohr magnetons per cell
# Energy above the most stable polymorph in this dataset = 0.78 eV per formula unit
# Uncorrected formation energy = -119 meV/atom
data_ScBeSb
_chemical_formula_sum 'Sc1 Be1 Sb1'
_cell_length_a 4.296
_cell_length_b 4.296
_cell_length_c 4.296
_cell_angle_alpha 60.00
_cell_angle_beta 60.00
_cell_angle_gamma 60.00
_space_group_name_H-M_alt 'P 1'
_space_group_IT_number 1
loop_
_space_group_symop_operation_xyz
'x,y,z'
loop_
_atom_site_label
_atom_site_fract_x
_atom_site_fract_y
_atom_site_fract_z
Sc1 0.000 0.000 0.000
Be1 0.250 0.250 0.250
Sb1 0.500 0.500 0.500



# 2
# ScBe2Sb, optimized geometry, DFT PBE
# DOS at the Fermi energy = 2.96 states/eV per cell
# Total magnetization = 0.00 Bohr magnetons per cell
# Uncorrected formation energy = 22 meV/atom
data_ScBe2Sb
_chemical_formula_sum 'Sc1 Be2 Sb1'
_cell_length_a 3.213
_cell_length_b 3.948
_cell_length_c 5.280
_cell_angle_alpha 90.00
_cell_angle_beta 90.00
_cell_angle_gamma 90.00
_space_group_name_H-M_alt 'P 1'
_space_group_IT_number 1
loop_
_space_group_symop_operation_xyz
'x,y,z'
loop_
_atom_site_label
_atom_site_fract_x
_atom_site_fract_y
_atom_site_fract_z
Sc1 0.000 0.000 0.000
Be1 0.500 0.500 0.198
Be2 0.500 0.500 0.802
Sb1 0.500 0.000 0.500



# 3
# ScBe2Sb, optimized geometry, DFT PBE
# DOS at the Fermi energy = 1.62 states/eV per cell
# Total magnetization = 0.00 Bohr magnetons per cell
# Uncorrected formation energy = -45 meV/atom
data_ScBe2Sb
_chemical_formula_sum 'Sc1 Be2 Sb1'
_cell_length_a 4.036
_cell_length_b 4.036
_cell_length_c 3.814
_cell_angle_alpha 90.00
_cell_angle_beta 90.00
_cell_angle_gamma 90.00
_space_group_name_H-M_alt 'P 1'
_space_group_IT_number 1
loop_
_space_group_symop_operation_xyz
'x,y,z'
loop_
_atom_site_label
_atom_site_fract_x
_atom_site_fract_y
_atom_site_fract_z
Sc1 0.000 0.000 0.000
Be1 0.000 0.500 0.500
Be2 0.500 0.000 0.500
Sb1 0.500 0.500 0.000



# 4
# ScBeSb2, optimized geometry, DFT PBE
# DOS at the Fermi energy = 2.89 states/eV per cell
# Total magnetization = 0.00 Bohr magnetons per cell
# Uncorrected formation energy = -62 meV/atom
data_ScBeSb2
_chemical_formula_sum 'Sc1 Be1 Sb2'
_cell_length_a 5.315
_cell_length_b 5.315
_cell_length_c 5.315
_cell_angle_alpha 138.19
_cell_angle_beta 119.43
_cell_angle_gamma 76.31
_space_group_name_H-M_alt 'P 1'
_space_group_IT_number 1
loop_
_space_group_symop_operation_xyz
'x,y,z'
loop_
_atom_site_label
_atom_site_fract_x
_atom_site_fract_y
_atom_site_fract_z
Sc1 0.000 0.000 0.000
Be1 0.500 0.500 0.000
Sb1 0.292 0.792 0.500
Sb2 0.708 0.208 0.500



# 5
# ScBeSb, optimized geometry, DFT PBE
# DOS at the Fermi energy = 1.49 states/eV per cell
# Total magnetization = 0.00 Bohr magnetons per cell
# Energy above the most stable polymorph in this dataset = 0.90 eV per formula unit
# Uncorrected formation energy = -78 meV/atom
data_ScBeSb
_chemical_formula_sum 'Sc1 Be1 Sb1'
_cell_length_a 5.827
_cell_length_b 5.509
_cell_length_c 3.458
_cell_angle_alpha 77.34
_cell_angle_beta 67.28
_cell_angle_gamma 35.38
_space_group_name_H-M_alt 'P 1'
_space_group_IT_number 1
loop_
_space_group_symop_operation_xyz
'x,y,z'
loop_
_atom_site_label
_atom_site_fract_x
_atom_site_fract_y
_atom_site_fract_z
Sc1 0.000 0.000 0.000
Be1 0.333 0.333 0.667
Sb1 0.700 0.700 0.300



# 6
# ScBeSb, optimized geometry, DFT PBE
# DOS at the Fermi energy = 2.27 states/eV per cell
# Total magnetization = 0.24 Bohr magnetons per cell
# Energy above the most stable polymorph in this dataset = 1.11 eV per formula unit
# Uncorrected formation energy = -9 meV/atom
data_ScBeSb
_chemical_formula_sum 'Sc1 Be1 Sb1'
_cell_length_a 5.502
_cell_length_b 5.502
_cell_length_c 5.502
_cell_angle_alpha 145.71
_cell_angle_beta 142.17
_cell_angle_gamma 51.98
_space_group_name_H-M_alt 'P 1'
_space_group_IT_number 1
loop_
_space_group_symop_operation_xyz
'x,y,z'
loop_
_atom_site_label
_atom_site_fract_x
_atom_site_fract_y
_atom_site_fract_z
Sc1 0.000 0.000 0.000
Be1 0.677 0.677 0.000
Sb1 0.298 0.298 0.000



# 7
# ScBeSb2, optimized geometry, DFT PBE
# DOS at the Fermi energy = 2.34 states/eV per cell
# Total magnetization = 0.00 Bohr magnetons per cell
# Uncorrected formation energy = -63 meV/atom
data_ScBeSb2
_chemical_formula_sum 'Sc1 Be1 Sb2'
_cell_length_a 3.847
_cell_length_b 3.737
_cell_length_c 6.019
_cell_angle_alpha 90.00
_cell_angle_beta 101.12
_cell_angle_gamma 90.00
_space_group_name_H-M_alt 'P 1'
_space_group_IT_number 1
loop_
_space_group_symop_operation_xyz
'x,y,z'
loop_
_atom_site_label
_atom_site_fract_x
_atom_site_fract_y
_atom_site_fract_z
Sc1 0.000 0.000 0.000
Be1 0.000 0.000 0.500
Sb1 0.426 0.500 0.736
Sb2 0.574 0.500 0.264



# 8
# Sc2BeSb2, optimized geometry, DFT PBE
# DOS at the Fermi energy = 4.57 states/eV per cell
# Total magnetization = 0.45 Bohr magnetons per cell
# Energy above the most stable polymorph in this dataset = 2.62 eV per formula unit
# Uncorrected formation energy = 181 meV/atom
data_Sc2BeSb2
_chemical_formula_sum 'Sc2 Be1 Sb2'
_cell_length_a 7.919
_cell_length_b 7.919
_cell_length_c 7.919
_cell_angle_alpha 149.89
_cell_angle_beta 149.89
_cell_angle_gamma 43.10
_space_group_name_H-M_alt 'P 1'
_space_group_IT_number 1
loop_
_space_group_symop_operation_xyz
'x,y,z'
loop_
_atom_site_label
_atom_site_fract_x
_atom_site_fract_y
_atom_site_fract_z
Sc1 0.099 0.099 0.000
Sc2 0.901 0.901 0.000
Be1 0.500 0.500 0.000
Sb1 0.250 0.750 0.500
Sb2 0.750 0.250 0.500